[1]
Density functional theory data (GGA-PBE) for PmBiIr after structural relaxation.

abc: 6.988 6.988 6.988
angles: 90.00 90.00 90.00
Positions (direct):
Pm: 0.000 0.000 0.000
Pm: 0.000 0.500 0.500
Pm: 0.500 0.000 0.500
Pm: 0.500 0.500 0.000
Bi: 0.250 0.250 0.750
Bi: 0.250 0.750 0.250
Bi: 0.750 0.250 0.250
Bi: 0.750 0.750 0.750
Ir: 0.250 0.250 0.250
Ir: 0.250 0.750 0.750
Ir: 0.750 0.250 0.750
Ir: 0.750 0.750 0.250

- mass density (kg/m³) = 10630
- calculated total energy (Ry per atom) = -0.416
- space group = F-43m (216)

***

[2]
Density functional theory data (GGA-PBE) for Pr3BiIr after structural relaxation.

abc: 7.059 7.059 10.815
angles: 90.00 90.00 143.66
Positions (direct):
Pr: 0.069 0.931 0.750
Pr: 0.363 0.637 0.545
Pr: 0.363 0.637 0.955
Pr: 0.637 0.363 0.045
Pr: 0.637 0.363 0.455
Pr: 0.931 0.069 0.250
Bi: 0.240 0.760 0.250
Bi: 0.760 0.240 0.750
Ir: 0.000 0.000 0.000
Ir: 0.000 0.000 0.500

- mass density (kg/m³) = 8568
- calculated total energy (Ry per atom) = -0.449
- space group = Cmcm (63)

***

Going through the records in order, we get M_tot values of 0.00, 0.01 μB per formula unit.